1.
Entry from the Alexandria database: an optimized crystal structure of Na2PtF6 (GGA-PBE).

The calculation puts the formation energy (no corrections) at -202.2 kJ/mol of atoms. The value obtained for the density of states at the Fermi level is 0.0 states/eV/f.u. The calculation puts the total energy at -4.31 eV per atom.

Lattice parameters (Å, degrees): 5.0951 5.0951 10.2175 90.00 90.00 90.00
Element x y z (fractional)
F 0.3175 0.3175 0.6446
F 0.2739 0.2739 0.0000
F 0.3175 0.3175 0.3554
F 0.8175 0.1825 0.1446
F 0.7261 0.7261 0.0000
F 0.1825 0.8175 0.8554
F 0.7739 0.2261 0.5000
F 0.8175 0.1825 0.8554
F 0.2261 0.7739 0.5000
F 0.6825 0.6825 0.6446
F 0.6825 0.6825 0.3554
F 0.1825 0.8175 0.1446
Na 0.5000 0.5000 0.1642
Na 0.0000 0.0000 0.3358
Na 0.0000 0.0000 0.6642
Na 0.5000 0.5000 0.8358
Pt 0.5000 0.5000 0.5000
Pt 0.0000 0.0000 0.0000

2.
Entry from the Alexandria database: an optimized crystal structure of NaPtF (GGA-PBE).

The calculation puts the formation energy (no corrections) at -62.9 kJ/mol of atoms. The value obtained for the density of states at the Fermi level is 1.6 states/eV/f.u. As for the excess energy over the best structure of this formula in the dataset: 2.31 eV/f.u. The calculation puts the total energy at -3.73 eV per atom.

Lattice parameters (Å, degrees): 3.5632 3.5632 9.3771 90.00 90.00 120.00
Element x y z (fractional)
Na 0.6667 0.3333 0.7500
Na 0.3333 0.6667 0.2500
F 0.0000 0.0000 0.7500
F 0.0000 0.0000 0.2500
Pt 0.0000 0.0000 0.5000
Pt 0.0000 0.0000 0.0000

3.
Entry from the Alexandria database: an optimized crystal structure of NaPtF (GGA-PBE).

The calculation puts the formation energy (no corrections) at -123.0 kJ/mol of atoms. The value obtained for the density of states at the Fermi level is 1.5 states/eV/f.u. As for the excess energy over the best structure of this formula in the dataset: 0.44 eV/f.u. The calculation puts the total energy at -4.35 eV per atom.

Lattice parameters (Å, degrees): 8.2555 2.8474 9.2706 107.81 140.18 100.02
Element x y z (fractional)
Na 0.1449 0.5743 0.7963
Na 0.8630 0.8950 0.2569
F 0.2353 0.9960 0.6718
F 0.5550 0.7112 0.2284
Pt 0.3031 0.6414 0.2858
Pt 0.6894 0.8121 0.7638

4.
Entry from the Alexandria database: an optimized crystal structure of Na2PtF6 (GGA-PBE).

The calculation puts the formation energy (no corrections) at -202.0 kJ/mol of atoms. The value obtained for the density of states at the Fermi level is 0.0 states/eV/f.u. The calculation puts the total energy at -4.31 eV per atom.

Lattice parameters (Å, degrees): 5.7807 5.5522 9.0883 90.00 90.31 90.00
Each line ends with the local moment (μB).
Element x y z (fractional)
F 0.6448 0.2941 0.8492  0.01
F 0.8543 0.8068 0.3425  0.01
F 0.3543 0.6932 0.8425  0.01
F 0.7928 0.6848 0.9971  0.00
F 0.1457 0.1932 0.6575  0.01
F 0.1448 0.2059 0.3492  0.01
F 0.8552 0.7941 0.6508  0.01
F 0.7072 0.1848 0.5029  0.00
F 0.2072 0.3152 0.0029  0.00
F 0.6457 0.3068 0.1575  0.01
F 0.2928 0.8152 0.4971  0.00
F 0.3552 0.7059 0.1508  0.01
Na 0.9983 0.4953 0.7991  0.00
Na 0.5017 0.9953 0.7009  0.00
Na 0.4983 0.0047 0.2991  0.00
Na 0.0017 0.5047 0.2009  0.00
Pt 0.5000 0.5000 0.0000  0.06
Pt 0.0000 0.0000 0.5000  0.06

5.
Entry from the Alexandria database: an optimized crystal structure of Na3PtF (GGA-PBE).

The calculation puts the formation energy (no corrections) at -102.4 kJ/mol of atoms. The value obtained for the density of states at the Fermi level is 0.0 states/eV/f.u. As for the excess energy over the best structure of this formula in the dataset: 0.00 eV/f.u. The calculation puts the total energy at -3.43 eV per atom.

Lattice parameters (Å, degrees): 4.5340 4.5340 4.5340 90.00 90.00 90.00
Element x y z (fractional)
Pt 0.5000 0.5000 0.5000
Na 0.0000 0.5000 0.0000
Na 0.5000 0.0000 0.0000
Na 0.0000 0.0000 0.5000
F 0.0000 0.0000 0.0000

6.
Entry from the Alexandria database: an optimized crystal structure of NaPtF (GGA-PBE).

The calculation puts the formation energy (no corrections) at -19.0 kJ/mol of atoms. The value obtained for the density of states at the Fermi level is 4.7 states/eV/f.u. As for the excess energy over the best structure of this formula in the dataset: 3.67 eV/f.u. The calculation puts the total energy at -3.27 eV per atom.

Lattice parameters (Å, degrees): 4.1925 4.1925 4.1925 60.00 60.00 60.00
Each line ends with the local moment (μB).
Element x y z (fractional)
F 0.0000 0.0000 0.0000  0.05
Pt 0.7500 0.7500 0.7500  0.39
Na 0.2500 0.2500 0.2500  0.00

7.
Entry from the Alexandria database: an optimized crystal structure of NaPtF (GGA-PBE).

The calculation puts the formation energy (no corrections) at -37.2 kJ/mol of atoms. The value obtained for the density of states at the Fermi level is 4.3 states/eV/f.u. As for the excess energy over the best structure of this formula in the dataset: 3.11 eV/f.u. The calculation puts the total energy at -3.46 eV per atom.

Lattice parameters (Å, degrees): 4.3542 4.3542 2.8547 90.00 90.00 120.00
Element x y z (fractional)
Na 0.6667 0.3333 0.5000
Pt 0.3333 0.6667 0.0000
F 0.0000 0.0000 0.0000

8.
Entry from the Alexandria database: an optimized crystal structure of Rb2NaPtF8 (GGA-PBE).

The calculation puts the formation energy (no corrections) at -184.6 kJ/mol of atoms. The value obtained for the density of states at the Fermi level is 21.7 states/eV/f.u. The calculation puts the total energy at -3.94 eV per atom.

Lattice parameters (Å, degrees): 6.3639 6.3639 6.5493 90.00 90.00 120.00
Each line ends with the local moment (μB).
Element x y z (fractional)
Rb 0.6667 0.3333 0.1486  0.00
Rb 0.3333 0.6667 0.8514  0.00
F 0.8586 0.1414 0.8158  0.02
F 0.2828 0.1414 0.8158  0.02
F 0.8586 0.7172 0.8158  0.02
F 0.1414 0.8586 0.1842  0.02
F 0.1414 0.2828 0.1842  0.02
F 0.3333 0.6667 0.4532  0.39
F 0.7172 0.8586 0.1842  0.02
F 0.6667 0.3333 0.5468  0.39
Na 0.0000 0.0000 0.5000  0.00
Pt 0.0000 0.0000 0.0000  0.16

9.
Entry from the Alexandria database: an optimized crystal structure of NaPt2RhF (GGA-PBE).

The calculation puts the formation energy (no corrections) at 159.9 kJ/mol of atoms. The value obtained for the density of states at the Fermi level is 6.8 states/eV/f.u. The calculation puts the total energy at -2.87 eV per atom.

Lattice parameters (Å, degrees): 4.6999 4.8381 4.6999 90.00 90.00 90.00
Each line ends with the local moment (μB).
Element x y z (fractional)
Pt 0.5000 0.0000 0.0000  0.41
Pt 0.0000 0.0000 0.5000  0.58
Rh 0.0000 0.5000 0.0000  1.54
Na 0.0000 0.0000 0.0000  -0.01
F 0.5000 0.5000 0.5000  0.12

10.
Entry from the Alexandria database: an optimized crystal structure of NaRuPt2F (GGA-PBE).

The calculation puts the formation energy (no corrections) at 69.8 kJ/mol of atoms. The value obtained for the density of states at the Fermi level is 5.9 states/eV/f.u. The calculation puts the total energy at -4.19 eV per atom.

Lattice parameters (Å, degrees): 4.6524 4.1052 4.6524 90.00 90.00 90.00
Each line ends with the local moment (μB).
Element x y z (fractional)
Ru 0.0000 0.5000 0.0000  2.19
Pt 0.0000 0.0000 0.5000  0.41
Pt 0.5000 0.0000 0.0000  0.37
Na 0.5000 0.5000 0.5000  -0.01
F 0.0000 0.0000 0.0000  0.08